No. 1
VASP calculation (PBE-GGA) on a geometry-optimized Tm8ScBi2 structure.

Calculated values
space-group type	C2/m, No. 12
ΔH_f (0 K)	-119	meV per atom

Cell lengths 8.5805, 8.5805, 5.7163 Å; angles 102.05, 102.05, 119.96 degrees
Last column: nearest neighbours and their distance in Å.
Element x y z (fractional)
1 Tm 0.0974 0.3161 0.6127  2 Bi 3.14-3.29, 4 Tm 3.23-3.50
2 Tm 0.2147 0.7853 0.0000  2 Bi 3.14, 1 Sc 3.19
3 Tm 0.3161 0.0974 0.6127  2 Bi 3.14-3.29, 4 Tm 3.23-3.50
4 Tm 0.3986 0.3986 0.1949  1 Sc 3.13, 6 Tm 3.18-3.50, 2 Bi 3.34
5 Tm 0.6014 0.6014 0.8051  1 Sc 3.13, 6 Tm 3.18-3.50, 2 Bi 3.34
6 Tm 0.6839 0.9026 0.3873  2 Bi 3.14-3.29, 4 Tm 3.23-3.50
7 Tm 0.7853 0.2147 0.0000  2 Bi 3.14, 1 Sc 3.19
8 Tm 0.9026 0.6839 0.3873  2 Bi 3.14-3.29, 4 Tm 3.23-3.50
9 Sc 0.0000 0.0000 0.0000  4 Tm 3.13-3.19
10 Bi 0.3021 0.6979 0.5000  8 Tm 3.14-3.34
11 Bi 0.6979 0.3021 0.5000  8 Tm 3.14-3.34



No. 2
VASP calculation (PBE-GGA) on a geometry-optimized PPtSe2 structure.

Calculated values
space-group type	R-3m, No. 166
energy relative to the elements, uncorrected	100	meV per atom

Cell lengths 6.4232, 6.4232, 6.4232 Å; angles 34.21, 34.21, 34.21 degrees
Last column: nearest neighbours and their distance in Å.
Element x y z (fractional)
1 P 0.0000 0.0000 0.0000  6 Se 2.69
2 Pt 0.5000 0.5000 0.5000  6 Se 2.62
3 Se 0.2463 0.2463 0.2463  3 Pt 2.62, 3 P 2.69
4 Se 0.7537 0.7537 0.7537  3 Pt 2.62, 3 P 2.69



No. 3
VASP calculation (PBE-GGA) on a geometry-optimized TaHg structure.

Calculated values
space-group type	F-43m, No. 216
ΔH_f (0 K)	1947	meV per atom

Cell lengths 4.3339, 4.3339, 4.3339 Å; angles 60.00, 60.00, 60.00 degrees
Last column: nearest neighbours and their distance in Å.
Element x y z (fractional)
1 Ta 0.0000 0.0000 0.0000  4 Hg 2.65
2 Hg 0.7500 0.7500 0.7500  4 Ta 2.65



No. 4
VASP calculation (PBE-GGA) on a geometry-optimized Al2Sb structure.

Calculated values
space-group type	Fd-3m, No. 227
energy relative to the elements, uncorrected	201	meV per atom

Cell lengths 5.5864, 5.5864, 5.5864 Å; angles 60.00, 60.00, 60.00 degrees
Last column: nearest neighbours and their distance in Å.
Element x y z (fractional)
1 Al 0.0000 0.0000 0.0000  6 Al 2.79
2 Al 0.0000 0.0000 0.5000  6 Al 2.79
3 Al 0.0000 0.5000 0.0000  6 Al 2.79
4 Al 0.5000 0.0000 0.0000  6 Al 2.79
5 Sb 0.3750 0.3750 0.3750  12 Al 3.28, 4 Sb 3.42
6 Sb 0.6250 0.6250 0.6250  12 Al 3.28, 4 Sb 3.42



no.,total magnetization (μB/cell)
1,0.00
2,0.00
3,0.00
4,0.00